(1)
VASP calculation (GGA-PBE) on a relaxed structure of HoMg2Ag2Hg2.

a = 8.148 Å, b = 8.148 Å, c = 8.148 Å
α = 34.02°, β = 34.02°, γ = 34.02°
Element x y z (fractional)
Ho 0.000 0.000 0.000
Mg 0.140 0.140 0.140
Mg 0.860 0.860 0.860
Ag 0.436 0.436 0.436
Ag 0.564 0.564 0.564
Hg 0.271 0.271 0.271
Hg 0.729 0.729 0.729

- Total DFT energy (no corrections): -15.6 eV per cell
- SG: R-3m
- Mass density: 9.1 g/cm3
- Fermi-level density of states: 3.0 states/eV per cell
- M_tot: 0.000 μB/f.u.

***

(2)
VASP calculation (GGA-PBE) on a relaxed structure of NdHoAgHg.

a = 5.278 Å, b = 5.278 Å, c = 5.278 Å
α = 60.00°, β = 60.00°, γ = 60.00°
Element x y z (fractional)
Nd 0.000 0.000 0.000
Ho 0.500 0.500 0.500
Ag 0.750 0.750 0.750
Hg 0.250 0.250 0.250

- Total DFT energy (no corrections): -14.0 eV per cell
- SG: F-43m
- Mass density: 9.9 g/cm3
- Fermi-level density of states: 3.1 states/eV per cell
- E above lowest polymorph: 4.2 meV per atom
- M_tot: 0.000 μB/f.u.

***

(3)
VASP calculation (GGA-PBE) on a relaxed structure of Nd2HoAg2Hg2.

a = 9.326 Å, b = 9.326 Å, c = 9.326 Å
α = 30.38°, β = 30.38°, γ = 30.38°
Element x y z (fractional)
Nd 0.122 0.122 0.122
Nd 0.878 0.878 0.878
Ho 0.000 0.000 0.000
Ag 0.391 0.391 0.391
Ag 0.609 0.609 0.609
Hg 0.266 0.266 0.266
Hg 0.734 0.734 0.734

- Total DFT energy (no corrections): -22.1 eV per cell
- SG: R-3m
- Mass density: 9.7 g/cm3
- Fermi-level density of states: 5.4 states/eV per cell
- M_tot: 0.000 μB/f.u.